(1)
5
Lattice="4.5876 0.0000 0.0000 0.0000 4.5876 0.0000 0.0000 0.0000 4.5876" Properties=species:S:1:pos:R:3 comment="V3CdRh, relaxed, DFT PBE" space_group="Pm-3m (221)" de_polymorph_kj_per_mol_fu=0 formation_energy_ev_per_fu=4.66 pbc="T T T"
V 2.2938 0.0000 0.0000
V 0.0000 2.2938 0.0000
V 0.0000 0.0000 2.2938
Rh 0.0000 0.0000 0.0000
Cd 2.2938 2.2938 2.2938



(2)
4
Lattice="-3.2911 1.5198 3.8698 1.1844 -1.0639 5.0579 1.3966 3.9266 3.2785" Properties=species:S:1:pos:R:3 comment="Ho2TmAl, relaxed, DFT PBE" space_group="Fm-3m (225)" de_polymorph_kj_per_mol_fu=52 formation_energy_ev_per_fu=-0.26 pbc="T T T"
Ho -0.1775 1.0956 3.0515
Ho -0.5326 3.2868 9.1546
Tm -0.3551 2.1912 6.1031
Al 0.0000 0.0000 0.0000



(3)
3
Lattice="3.3863 0.0000 0.0000 -1.6931 2.9326 0.0000 0.0000 0.0000 7.9455" Properties=species:S:1:pos:R:3 comment="ZrTlPb, relaxed, DFT PBE" space_group="P3m1 (156)" de_polymorph_kj_per_mol_fu=0 formation_energy_ev_per_fu=0.26 pbc="T T T"
Zr 0.0000 1.9551 5.2774
Pb 0.0000 0.0000 7.8475
Tl 1.6931 0.9775 2.7661



(4)
5
Lattice="-5.8002 -0.8961 0.0167 0.3130 -2.0833 -3.0569 0.7472 -4.7745 3.3303" Properties=species:S:1:pos:R:3 comment="K2LiSiH, relaxed, DFT PBE" space_group="P4/mmm (123)" energy_ev_per_cell=-11.9 pbc="T T T"
Si -2.3700 -3.8770 0.1451
K -2.9001 -0.4480 0.0083
K 0.3736 -2.3873 1.6652
Li 0.1565 -1.0416 -1.5285
H 0.0000 0.0000 0.0000



(5)
16
Lattice="8.2030 0.0000 0.0000 0.0000 9.1940 0.6745 -4.1015 -4.0902 5.8228" Properties=species:S:1:pos:R:3 comment="La8Co3IrBr4, relaxed, DFT PBE" space_group="C2/m (12)" e_form_raw_ev_per_atom=-0.93 pbc="T T T"
La 2.0927 2.6558 0.4401
La 0.0000 0.6438 3.3414
La 4.1015 0.6470 3.3011
La -2.0088 2.4479 6.0573
La 2.0088 2.4479 6.0573
La 0.0000 4.4568 3.1963
La 4.1015 4.4599 3.1560
La 6.1103 2.6558 0.4401
Br 4.1015 0.0000 0.0000
Br 2.0508 -2.0451 2.9114
Br 0.0000 0.0000 0.0000
Br -2.0508 -2.0451 2.9114
Co 2.0508 2.5519 3.2487
Co -2.0508 2.5519 3.2487
Co 4.1015 4.5970 0.3372
Ir 0.0000 4.5970 0.3372



(6)
4
Lattice="3.7451 0.0000 0.0000 1.8725 3.2433 0.0000 1.8725 1.0811 6.1074" Properties=species:S:1:pos:R:3 comment="NdSmC2, relaxed, DFT PBE" space_group="R-3m (166)" formation_energy_ev_per_fu=1.07 pbc="T T T"
Sm 0.0000 0.0000 0.0000
C 5.6176 3.2433 4.6083
C 1.8725 1.0811 1.4991
Nd 3.7451 2.1622 3.0537